The following is a DFT calculation (PBE) of a geometry-optimized RbAsP structure.

Output
Energy relative to the elements: -0.31 eV/atom
Energy above the most stable polymorph in this dataset: 0.0 kJ/mol of formula units
VASP energy: -3.983 eV per atom

Cell lengths 5.756, 5.875, 6.940 Å; angles 98.58, 100.82, 105.51 degrees
Space group P-1 (No. 2)
Symmetry-distinct sites (fractional):
Rb1 0.150 0.306 0.254 (multiplicity 2)
As1 0.475 0.847 0.102 (multiplicity 2)
P1 0.369 0.920 0.581 (multiplicity 2)